Crystalline PmTmTh2P4 at its relaxed geometry, computed with GGA-PBE.

It has space group P2/m (No. 10), with a = 7.058 Å, b = 4.105 Å, c = 7.112 Å, α = 90.00°, β = 109.67° and γ = 90.00°. The distinct sites, in fractional coordinates, are Pm at (0.000, 0.000, 0.000), Tm at (0.000, 0.500, 0.500), Th at (0.500, 0.000, 0.500), Th at (0.500, 0.500, 0.000), P at (0.243, 0.000, 0.743) and P at (0.247, 0.500, 0.254).

For the density of states at the Fermi level, the calculation gives 0.47 states/eV per atom. The magnetic moment comes out at 0.000 μB/f.u. The density comes out at 7.72 g/cm³. The value obtained for the formation energy is -151.05 kJ per mole of atoms.